VASP calculation (GGA-PBE) on LiB2 after structural relaxation.

Its density of states at the Fermi level is 0.59 states/eV/cell. The value obtained for the offset from the most stable computed form is 0 meV/atom. The formation energy comes out at -0.32 eV per formula unit. As for the crystal system: triclinic.

It has space group P-1 (No. 2), with a = 2.873 Å, b = 3.134 Å, c = 7.739 Å, α = 87.76°, β = 79.91° and γ = 62.77°. The distinct sites, in fractional coordinates, are Li at (0.234, 0.324, 0.190), B at (0.220, 0.977, 0.590) and B at (0.479, 0.640, 0.395).